(1)
DFT (PBE-GGA) results for a relaxed structure of MgCdAg2.

Geometry as POSCAR:
```
MgCdAg2
1.0
3.468 0.000 0.000
0.000 3.468 0.000
0.000 0.000 6.377
Mg Cd Ag
1 1 2
direct
0.000 0.000 0.000
0.500 0.500 0.719
0.000 0.000 0.471
0.500 0.500 0.224
```

Output
Symmetry: No. 99
Electronic total energy: -8.66 eV for the cell shown
Formation enthalpy at 0 K: -0.111 eV/atom

(2)
DFT (PBE-GGA) results for a relaxed structure of TmPa3Co2.

Geometry as POSCAR:
```
TmPa3Co2
1.0
7.817 -1.977 0.000
7.817 1.977 0.000
-4.300 0.000 8.156
Tm Pa Co
2 6 4
direct
0.122 0.122 0.132
0.878 0.878 0.868
0.012 0.012 0.355
0.322 0.322 0.099
0.337 0.337 0.498
0.663 0.663 0.502
0.678 0.678 0.901
0.988 0.988 0.645
0.186 0.186 0.710
0.487 0.487 0.138
0.513 0.513 0.862
0.814 0.814 0.290
```

Output
Symmetry: No. 12
Electronic total energy: -96.13 eV for the cell shown
Formation enthalpy at 0 K: -0.149 eV/atom

(3)
DFT (PBE-GGA) results for a relaxed structure of ScNb3Os4.

Geometry as POSCAR:
```
ScNb3Os4
1.0
3.140 0.000 0.000
0.000 4.560 0.000
0.000 0.000 9.111
Sc Nb Os
1 3 4
direct
0.000 0.000 0.000
0.000 0.000 0.500
0.000 0.500 0.248
0.000 0.500 0.752
0.500 0.000 0.253
0.500 0.000 0.747
0.500 0.500 0.000
0.500 0.500 0.500
```

Output
Symmetry: No. 47
Electronic total energy: -83.57 eV for the cell shown
Formation enthalpy at 0 K: -0.264 eV/atom

(4)
DFT (PBE-GGA) results for a relaxed structure of Tm7Ag2Sn2.

Geometry as POSCAR:
```
Tm7Ag2Sn2
1.0
4.101 -5.512 0.000
4.101 5.512 0.000
0.000 0.000 7.082
Tm Ag Sn
7 2 2
direct
0.000 0.000 0.000
0.000 0.500 0.266
0.000 0.500 0.734
0.500 0.000 0.266
0.500 0.000 0.734
0.500 0.500 0.248
0.500 0.500 0.752
0.286 0.714 0.000
0.714 0.286 0.000
0.181 0.181 0.500
0.819 0.819 0.500
```

Output
Symmetry: No. 65
Electronic total energy: -46.11 eV for the cell shown
Formation enthalpy at 0 K: -0.100 eV/atom

(5)
DFT (PBE-GGA) results for a relaxed structure of TbCeC.

Geometry as POSCAR:
```
TbCeC
1.0
3.085 -1.781 0.000
3.085 1.781 0.000
-2.031 0.000 6.375
Tb Ce C
1 1 1
direct
0.000 0.000 0.000
0.477 0.477 0.437
0.739 0.739 0.218
```

Output
Symmetry: No. 8
Electronic total energy: -20.36 eV for the cell shown
Energy relative to the lowest polymorph listed for this composition: 0 meV/atom
Formation enthalpy at 0 K: -0.191 eV/atom

(6)
DFT (PBE-GGA) results for a relaxed structure of TaCu2Pt.

Geometry as POSCAR:
```
TaCu2Pt
1.0
0.000 3.044 3.044
3.044 0.000 3.044
3.044 3.044 0.000
Ta Cu Pt
1 2 1
direct
0.000 0.000 0.000
0.250 0.250 0.250
0.750 0.750 0.750
0.500 0.500 0.500
```

Output
Symmetry: No. 225
Electronic total energy: -26.75 eV for the cell shown
Energy relative to the lowest polymorph listed for this composition: 59 meV/atom
Formation enthalpy at 0 K: -0.166 eV/atom